Density functional theory data (PBE) for a relaxed NaPmAlCd crystal.

The calculation puts the formation energy at -12.2 kJ per mole of atoms. The value obtained for the volume is 402.8 Å³ per cell. The crystal system is cubic.

It has space group F-43m (No. 216), with a = 7.385 Å, b = 7.385 Å, c = 7.385 Å, α = 90.00°, β = 90.00° and γ = 90.00°. Symmetry generates all atoms from Na at (0.000, 0.000, 0.000), Pm at (0.000, 0.000, 0.500), Al at (0.250, 0.250, 0.250) and Cd at (0.250, 0.250, 0.750).

***

Density functional theory data (PBE) for a relaxed NaAlCd2Re crystal.

The calculation puts the formation energy at 88.0 kJ per mole of atoms. The value obtained for the volume is 123.6 Å³ per cell. The crystal system is tetragonal.

It has space group P4/mmm (No. 123), with a = 5.099 Å, b = 5.099 Å, c = 4.755 Å, α = 90.00°, β = 90.00° and γ = 90.00°. Symmetry generates all atoms from Na at (0.000, 0.000, 0.000), Al at (0.500, 0.500, 0.500), Cd at (0.000, 0.500, 0.500) and Re at (0.500, 0.500, 0.000).

***

Density functional theory data (PBE) for a relaxed NaAlCd2Rh crystal.

The calculation puts the formation energy at -12.7 kJ per mole of atoms. The value obtained for the volume is 128.3 Å³ per cell. The crystal system is tetragonal.

It has space group P4/mmm (No. 123), with a = 5.238 Å, b = 5.238 Å, c = 4.676 Å, α = 90.00°, β = 90.00° and γ = 90.00°. Symmetry generates all atoms from Na at (0.000, 0.000, 0.000), Al at (0.500, 0.500, 0.000), Cd at (0.000, 0.500, 0.500) and Rh at (0.500, 0.500, 0.500).

***

Please write out number 2 again, unchanged.
Density functional theory data (PBE) for a relaxed NaAlCd2Re crystal.

The calculation puts the formation energy at 88.0 kJ per mole of atoms. The value obtained for the volume is 123.6 Å³ per cell. The crystal system is tetragonal.

It has space group P4/mmm (No. 123), with a = 5.099 Å, b = 5.099 Å, c = 4.755 Å, α = 90.00°, β = 90.00° and γ = 90.00°. Symmetry generates all atoms from Na at (0.000, 0.000, 0.000), Al at (0.500, 0.500, 0.500), Cd at (0.000, 0.500, 0.500) and Re at (0.500, 0.500, 0.000).

***

Among the records above, which one has the highest volume?
NaPmAlCd